CoAs | PBE-GGA | relaxed

Cell lengths 5.003, 5.003, 5.003 Å; angles 139.07, 139.07, 59.27 degrees
Positions (direct):
1 As 0.000 0.000 0.000
2 As 0.250 0.750 0.500
3 Co 0.500 0.500 0.000
4 Co 0.750 0.250 0.500

Output
Energy of formation = 4.1 kcal/mol of atoms
Total magnetization = 0.000 μB/atom

***

Ac5Ag2Ru2 | PBE-GGA | relaxed

Cell lengths 6.916, 7.711, 11.552 Å; angles 109.50, 107.42, 90.00 degrees
Positions (direct):
1 Ac 0.262 0.640 0.849
2 Ac 0.738 0.791 0.151
3 Ac 0.088 0.140 0.849
4 Ac 0.912 0.291 0.151
5 Ac 0.324 0.015 0.321
6 Ac 0.676 0.694 0.679
7 Ac 0.497 0.515 0.321
8 Ac 0.503 0.194 0.679
9 Ac 0.092 0.730 0.500
10 Ac 0.908 0.230 0.500
11 Ag 0.181 0.616 0.103
12 Ag 0.819 0.513 0.897
13 Ag 0.422 0.116 0.103
14 Ag 0.578 0.013 0.897
15 Ru 0.000 0.936 0.000
16 Ru 0.500 0.436 0.000
17 Ru 0.284 0.400 0.500
18 Ru 0.716 0.900 0.500

Output
Energy of formation = -3.3 kcal/mol of atoms
Total magnetization = 0.000 μB/atom

***

Mg2TaAu | PBE-GGA | relaxed

Cell lengths 2.969, 2.969, 8.351 Å; angles 90.00, 90.00, 90.00 degrees
Positions (direct):
1 Au 0.500 0.500 0.750
2 Mg 0.000 0.000 0.984
3 Mg 0.000 0.000 0.516
4 Ta 0.500 0.500 0.250

Output
Energy of formation = -2.3 kcal/mol of atoms
Total magnetization = 0.000 μB/atom

***

Ba2NiPS | PBE-GGA | relaxed

Cell lengths 6.002, 4.048, 6.002 Å; angles 90.00, 90.00, 90.00 degrees
Positions (direct):
1 Ni 0.000 0.000 0.000
2 S 0.000 0.500 0.000
3 Ba 0.000 0.000 0.500
4 Ba 0.500 0.000 0.000
5 P 0.500 0.500 0.500

Output
Uncorrected energy = -22.69 eV for the cell shown
Total magnetization = 0.000 μB/atom

***

LaDyAl | PBE-GGA | relaxed

Cell lengths 4.761, 4.761, 8.013 Å; angles 89.96, 90.04, 90.00 degrees
Positions (direct):
1 La 0.750 0.250 0.352
2 La 0.250 0.750 0.648
3 Dy 0.750 0.750 0.000
4 Dy 0.250 0.250 0.000
5 Al 0.250 0.750 0.250
6 Al 0.750 0.250 0.750

Output
Energy of formation = -4.7 kcal/mol of atoms
Total magnetization = 0.174 μB/atom

***

Li2AgMo | PBE-GGA | relaxed

Cell lengths 4.111, 3.970, 3.970 Å; angles 90.00, 90.00, 90.00 degrees
Positions (direct):
1 Ag 0.500 0.000 0.500
2 Li 0.000 0.000 0.000
3 Li 0.000 0.500 0.500
4 Mo 0.500 0.500 0.000

Output
Energy of formation = 13.9 kcal/mol of atoms
Total magnetization = 0.620 μB/atom

***

ErNb2V | PBE-GGA | relaxed

Cell lengths 3.080, 3.080, 10.001 Å; angles 81.14, 81.14, 60.00 degrees
Positions (direct):
1 Nb 0.100 0.100 0.699
2 Nb 0.900 0.900 0.301
3 V 0.500 0.500 0.500
4 Er 0.000 0.000 0.000

Output
Energy of formation = 12.0 kcal/mol of atoms
Total magnetization = 0.000 μB/atom

***

LiPtCl2 | PBE-GGA | relaxed

Cell lengths 4.578, 4.578, 4.858 Å; angles 90.00, 90.00, 114.87 degrees
Positions (direct):
1 Cl 0.000 0.000 0.875
2 Cl 0.500 0.500 0.375
3 Li 0.000 0.000 0.375
4 Pt 0.500 0.500 0.875

Output
Uncorrected energy = -14.01 eV for the cell shown
Total magnetization = 0.000 μB/atom

***

TbTm4Pt4 | PBE-GGA | relaxed

Cell lengths 5.651, 8.974, 8.974 Å; angles 90.00, 90.00, 90.00 degrees
Positions (direct):
1 Tb 0.000 0.000 0.000
2 Tb 0.500 0.500 0.500
3 Tm 0.415 0.330 0.903
4 Tm 0.915 0.597 0.830
5 Tm 0.415 0.670 0.097
6 Tm 0.085 0.170 0.597
7 Tm 0.585 0.903 0.670
8 Tm 0.085 0.830 0.403
9 Tm 0.915 0.403 0.170
10 Tm 0.585 0.097 0.330
11 Pt 0.584 0.787 0.375
12 Pt 0.584 0.213 0.625
13 Pt 0.084 0.875 0.713
14 Pt 0.916 0.287 0.875
15 Pt 0.916 0.713 0.125
16 Pt 0.416 0.375 0.213
17 Pt 0.416 0.625 0.787
18 Pt 0.084 0.125 0.287

Output
Energy of formation = -25.0 kcal/mol of atoms
Total magnetization = 0.000 μB/atom